[1]
DFT (PBE) results for a geometry-optimized Gd2TmSn structure. Values from VASP.

Properties
ρ: 8.90 g cm⁻³
formation enthalpy at 0 K: -41.8 kJ/mol of atoms
offset from the most stable computed form: 0.000 eV/atom

Quantum ESPRESSO input file:
```
&SYSTEM
  ibrav = 0, nat = 4, ntyp = 3
/
ATOMIC_SPECIES
Gd 157.25 Gd.upf
Tm 168.93 Tm.upf
Sn 118.71 Sn.upf
CELL_PARAMETERS angstrom
-2.8638 -3.9015 0.4925
3.0606 -2.5818 -2.6562
2.3916 -1.2538 3.9744
ATOMIC_POSITIONS angstrom
Gd 1.1958 -0.6269 1.9872
Gd 1.5303 -1.2909 -1.3281
Tm 1.2942 -3.8686 0.9054
Sn -1.4319 -1.9508 0.2463
```

=====

[2]
DFT (PBE) results for a geometry-optimized DyHoGaHg structure. Values from VASP.

Properties
ρ: 10.18 g cm⁻³
formation enthalpy at 0 K: -49.2 kJ/mol of atoms
offset from the most stable computed form: 0.021 eV/atom

Quantum ESPRESSO input file:
```
&SYSTEM
  ibrav = 0, nat = 4, ntyp = 4
/
ATOMIC_SPECIES
Dy 162.50 Dy.upf
Hg 200.59 Hg.upf
Ga 69.72 Ga.upf
Ho 164.93 Ho.upf
CELL_PARAMETERS angstrom
5.1660 0.0000 0.0000
2.5830 4.4739 0.0000
2.5830 1.4913 4.2180
ATOMIC_POSITIONS angstrom
Dy 5.1660 2.9826 2.1090
Hg 7.7490 4.4739 3.1635
Ga 2.5830 1.4913 1.0545
Ho 0.0000 0.0000 0.0000
```

=====

[3]
DFT (PBE) results for a geometry-optimized Li5Zn2Cd2 structure. Values from VASP.

Properties
ρ: 3.91 g cm⁻³
formation enthalpy at 0 K: -9.8 kJ/mol of atoms
offset from the most stable computed form: 0.000 eV/atom

Quantum ESPRESSO input file:
```
&SYSTEM
  ibrav = 0, nat = 18, ntyp = 3
/
ATOMIC_SPECIES
Li 6.94 Li.upf
Zn 65.41 Zn.upf
Cd 112.41 Cd.upf
CELL_PARAMETERS angstrom
-1.7422 -0.7143 6.4634
-6.1651 -1.6660 -1.8459
5.0825 -6.2929 0.6746
ATOMIC_POSITIONS angstrom
Li 0.0000 0.0000 0.0000
Li -3.9537 -1.1901 2.3087
Li -5.1329 -3.5435 3.9509
Li -1.7531 -2.4760 0.5397
Li -5.0677 -3.4042 0.4779
Li -1.8182 -2.6154 4.0128
Li 2.3081 -5.1297 1.3412
Li -1.0718 -6.1972 4.7523
Li 2.2429 -5.2690 4.8142
Li -1.0066 -6.0578 1.2793
Zn -6.4884 -1.9071 2.4679
Zn -1.4189 -0.4732 2.1496
Zn -4.0883 -1.1368 -0.3060
Zn -3.8190 -1.2435 4.9235
Cd 0.8994 -3.2044 -0.1117
Cd -3.0543 -4.3945 2.1970
Cd -1.9819 -4.7545 -1.0597
Cd 0.2295 -4.2787 3.0950
```

=====

[4]
DFT (PBE) results for a geometry-optimized Tl3BS3 structure. Values from VASP.

Properties
ρ: 5.11 g cm⁻³
ΔE_f (raw): -0.42 eV per atom

Quantum ESPRESSO input file:
```
&SYSTEM
  ibrav = 0, nat = 14, ntyp = 3
/
ATOMIC_SPECIES
Tl 204.38 Tl.upf
B 10.81 B.upf
S 32.06 S.upf
CELL_PARAMETERS angstrom
-9.5828 -0.6479 3.8306
-3.5127 -7.8867 -5.6907
-4.2002 -6.5238 2.2822
ATOMIC_POSITIONS angstrom
Tl -7.9887 -6.0192 -0.5168
Tl -10.6256 -5.1707 3.3133
Tl -6.6701 -9.8878 -2.8912
Tl -8.5523 -1.8768 2.2143
Tl -4.5431 -6.6579 -4.0744
Tl -9.3070 -9.0392 0.9388
B -6.2866 -7.7743 1.9027
B -11.0090 -7.2842 -1.4806
S -13.8208 -10.1924 -1.0621
S -6.2638 -8.4373 0.2045
S -7.6881 -6.7387 2.4387
S -11.0319 -6.6212 0.2176
S -9.6075 -8.3198 -2.0166
S -3.4748 -4.8660 1.4842
```